#1
The following is a PBE calculation of a relaxed GdTmSn2 crystal, from Alexandria via LeMat-Bulk.

Cell lengths 3.981, 3.981, 6.755 Å; angles 90.00, 90.00, 90.00 degrees
Fractional positions:
Gd: 0.500 0.500 0.000
Tm: 0.500 0.500 0.500
Sn: 0.000 0.000 0.737
Sn: 0.000 0.000 0.263

Summary:
The density of states at the Fermi level comes out at 3.485 states/eV per cell. The value obtained for the volume is 107.1 Å³ per cell.

=====

#2
The following is a PBE calculation of a relaxed GdTmSn2 crystal, from Alexandria via LeMat-Bulk.

Cell lengths 4.425, 4.878, 4.878 Å; angles 90.00, 90.00, 90.00 degrees
Fractional positions:
Gd: 0.500 0.500 0.500
Tm: 0.500 0.000 0.000
Sn: 0.000 0.000 0.500
Sn: 0.000 0.500 0.000

Summary:
The density of states at the Fermi level comes out at 3.761 states/eV per cell. The value obtained for the volume is 105.3 Å³ per cell.

=====

#3
The following is a PBE calculation of a relaxed GdTmSn2 crystal, from Alexandria via LeMat-Bulk.

Cell lengths 5.350, 5.350, 5.350 Å; angles 60.00, 60.00, 60.00 degrees
Fractional positions:
Gd: 0.500 0.500 0.500
Tm: 0.000 0.000 0.000
Sn: 0.250 0.250 0.250
Sn: 0.750 0.750 0.750

Summary:
The density of states at the Fermi level comes out at 3.988 states/eV per cell. The value obtained for the volume is 108.3 Å³ per cell.

=====

#2 is favored, and the nearest alternative lies 0.023 eV/atom above it.